Compound: TiAlCu2P
Source: Alexandria via LeMat-Bulk
Functional: GGA-PBE
Structure: relaxed

Computed properties:
Calculated volume (Å³/f.u.): 91
Total moment (μB/f.u.): 0.000
Space group: P4/mmm (123)
DOS at the Fermi energy (states/eV per atom): 0.52
ΔE_f (eV/atom): 0.753
ρ (g/cm³): 4.3

Cell lengths 4.304, 4.304, 4.911 Å; angles 90.00, 90.00, 90.00 degrees
Atoms (fractional coordinates):
Ti1 0.000 0.000 0.000
Al1 0.000 0.000 0.500
Cu1 0.000 0.500 0.500
Cu2 0.500 0.000 0.500
P1 0.500 0.500 0.000